Computed, not measured: a relaxed structure of BaCd2HgAu at the PBE-GGA level of DFT.

Output
Calculated total energy (eV/f.u.): -9.44

```
data_BaCd2HgAu
_chemical_formula_sum 'Ba2 Cd4 Hg2 Au2'
_cell_length_a 4.627
_cell_length_b 4.627
_cell_length_c 13.060
_cell_angle_alpha 90.00
_cell_angle_beta 90.00
_cell_angle_gamma 90.00
_space_group_name_H-M_alt 'I 4 m m'
_space_group_IT_number 107
_space_group_name_Hall 'I 4 -2'
loop_
_atom_site_label
_atom_site_type_symbol
_atom_site_fract_x
_atom_site_fract_y
_atom_site_fract_z
Ba1 Ba 0.000 0.000 0.000
Cd1 Cd 0.000 0.500 0.239
Hg1 Hg 0.000 0.000 0.385
Au1 Au 0.000 0.000 0.606
```